# CeBiPt2, relaxed, DFT GGA-PBE
data_CeBiPt2
_chemical_formula_sum 'Ce1 Bi1 Pt2'
_cell_length_a 3.753
_cell_length_b 4.861
_cell_length_c 4.861
_cell_angle_alpha 90.00
_cell_angle_beta 90.00
_cell_angle_gamma 90.00
_space_group_name_H-M_alt 'P 1'
_space_group_IT_number 1
_space_group_name_Hall 'P 1'
loop_
_atom_site_label
_atom_site_type_symbol
_atom_site_fract_x
_atom_site_fract_y
_atom_site_fract_z
Pt1 Pt 0.000 0.000 0.500
Ce1 Ce 0.500 0.000 0.000
Pt2 Pt 0.000 0.500 0.000
Bi1 Bi 0.500 0.500 0.500
# ρ = 13.84 g/cm3
# ΔE_f = -0.6224 eV/atom